SiRh3Br: optimized geometry, PBE.

The calculation puts the energy above the lowest structure with this stoichiometry at 0 meV per atom. Its magnetic moment is 2.0 μB/f.u. Its density of states at the Fermi level is 1.26 states/eV per atom. The formation energy (no corrections) comes out at 50 kJ/mol of atoms. The calculated volume comes out at 92.0 Å³ per cell. Its crystal system is cubic.

It has space group Pm-3m (No. 221), with a = 4.5149 Å, b = 4.5149 Å, c = 4.5149 Å, α = 90.00°, β = 90.00° and γ = 90.00°. The distinct sites, in fractional coordinates, are Si at (0.0000, 0.0000, 0.0000), Rh at (0.0000, 0.0000, 0.5000) and Br at (0.5000, 0.5000, 0.5000).